This record from the Alexandria database describes a relaxed Ga2Ge2Pb crystal. The functional is PBE-GGA. Values from VASP.

```
&SYSTEM
  ibrav = 0, nat = 5, ntyp = 3
/
ATOMIC_SPECIES
Ga 69.72 Ga.upf
Pb 207.20 Pb.upf
Ge 72.64 Ge.upf
ATOMIC_POSITIONS crystal
Ga 0.2500 0.7500 0.5000
Ga 0.7500 0.2500 0.5000
Pb 0.0000 0.0000 0.0000
Ge 0.6105 0.6105 0.7791
Ge 0.3895 0.3895 0.2209
CELL_PARAMETERS angstrom
-3.1804 1.7449 -2.1238
1.1969 -2.0448 -3.4723
-4.7142 -5.0118 -1.2180
```

Computed properties:
Its symmetry is No. 139. As for the crystal system: tetragonal. The energy is -0.2698 Ry/atom. Its calculated density is 7.3 Mg/m³. As for the energy above the most stable polymorph in this dataset: 0.0029 eV per atom. The value obtained for the energy relative to the elements is 129 meV/atom.